Entry 1:
Entry from the Alexandria database: Bi3O5F after structural relaxation (PBE-GGA).

Geometry as CIF:
```
data_Bi3O5F
_space_group_name_H-M_alt 'P 1'
_space_group_IT_number 1
_cell_length_a 6.3608
_cell_length_b 6.3608
_cell_length_c 8.4408
_cell_angle_alpha 72.60
_cell_angle_beta 72.60
_cell_angle_gamma 71.70
loop_
_space_group_symop_operation_xyz
'x,y,z'
loop_
_atom_site_label
_atom_site_type_symbol
_atom_site_fract_x
_atom_site_fract_y
_atom_site_fract_z
Bi1 Bi 0.3319 0.3319 0.1626
Bi2 Bi 0.0000 0.0000 0.0000
Bi3 Bi 0.3519 0.3519 0.6861
Bi4 Bi 0.6481 0.6481 0.3139
Bi5 Bi 0.6681 0.6681 0.8374
Bi6 Bi 0.0000 0.0000 0.5000
F1 F 0.1001 0.1001 0.7052
F2 F 0.8999 0.8999 0.2948
O1 O 0.6371 0.0148 0.6886
O2 O 0.7607 0.7607 0.0336
O3 O 0.4274 0.4274 0.3499
O4 O 0.2393 0.2393 0.9664
O5 O 0.9852 0.3629 0.3114
O6 O 0.6846 0.3154 0.0000
O7 O 0.3154 0.6846 0.0000
O8 O 0.5726 0.5726 0.6501
O9 O 0.0148 0.6371 0.6886
O10 O 0.3629 0.9852 0.3114
```

Summary:
Size of the total moment = 0.00 μB/f.u.
ΔE_f (raw) = -1.21 eV per atom
Crystal system = monoclinic

Entry 2:
Entry from the Alexandria database: SrPuB2O8 after structural relaxation (PBE-GGA).

Geometry as CIF:
```
data_SrPuB2O8
_space_group_name_H-M_alt 'P 1'
_space_group_IT_number 1
_cell_length_a 4.8129
_cell_length_b 4.8129
_cell_length_c 7.5110
_cell_angle_alpha 88.69
_cell_angle_beta 88.69
_cell_angle_gamma 65.48
loop_
_space_group_symop_operation_xyz
'x,y,z'
loop_
_atom_site_label
_atom_site_type_symbol
_atom_site_fract_x
_atom_site_fract_y
_atom_site_fract_z
O1 O 0.2290 0.2290 0.9245
O2 O 0.2976 0.2976 0.5981
O3 O 0.7024 0.7024 0.4019
O4 O 0.7744 0.3045 0.2022
O5 O 0.2256 0.6955 0.7978
O6 O 0.7710 0.7710 0.0755
O7 O 0.6955 0.2256 0.7978
O8 O 0.3045 0.7744 0.2022
Sr1 Sr 0.0000 0.0000 0.5000
B1 B 0.6368 0.6368 0.2313
B2 B 0.3632 0.3632 0.7687
Pu1 Pu 0.0000 0.0000 0.0000
```

Summary:
Size of the total moment = 2.01 μB/f.u.
ΔE_f (raw) = -2.22 eV per atom
Crystal system = monoclinic

Entry 3:
Entry from the Alexandria database: Pm2Cd7 after structural relaxation (PBE-GGA).

Geometry as CIF:
```
data_Pm2Cd7
_space_group_name_H-M_alt 'P 1'
_space_group_IT_number 1
_cell_length_a 5.9728
_cell_length_b 5.9728
_cell_length_c 14.7610
_cell_angle_alpha 78.33
_cell_angle_beta 78.33
_cell_angle_gamma 60.00
loop_
_space_group_symop_operation_xyz
'x,y,z'
loop_
_atom_site_label
_atom_site_type_symbol
_atom_site_fract_x
_atom_site_fract_y
_atom_site_fract_z
Cd1 Cd 0.5000 0.5000 0.0000
Cd2 Cd 0.6099 0.6099 0.1703
Cd3 Cd 0.5000 0.0000 0.0000
Cd4 Cd 0.0000 0.5000 0.0000
Cd5 Cd 0.3901 0.3901 0.8297
Cd6 Cd 0.3847 0.8943 0.3363
Cd7 Cd 0.2777 0.2777 0.1670
Cd8 Cd 0.1057 0.6153 0.6637
Cd9 Cd 0.6153 0.6153 0.6637
Cd10 Cd 0.8943 0.3847 0.3363
Cd11 Cd 0.3847 0.3847 0.3363
Cd12 Cd 0.7223 0.7223 0.8330
Cd13 Cd 0.6153 0.1057 0.6637
Cd14 Cd 0.5000 0.5000 0.5000
Pm1 Pm 0.9486 0.9486 0.1542
Pm2 Pm 0.8502 0.8502 0.4495
Pm3 Pm 0.1498 0.1498 0.5505
Pm4 Pm 0.0514 0.0514 0.8458
```

Summary:
Size of the total moment = 0.00 μB/f.u.
Crystal system = trigonal
ΔH_f (0 K) = -0.21 eV/atom
Energy relative to the lowest polymorph listed for this composition = 0.027 eV per atom

- Which value of size of the total moment does entry 2 give?
  2.01 μB/f.u.

- Which formula does entry 3 have?
  Pm2Cd7